*one*
{"formula": "KBaSbI2", "functional": "PBE", "state": "relaxed", "lattice_angstrom": [[-2.903, 3.856, 3.946], [-5.358, -3.035, -0.976], [1.354, -3.953, 4.859]], "species": ["I", "I", "Ba", "Sb", "K"], "frac_coords": [[0.500, 0.000, 0.000], [0.000, 0.500, 0.000], [0.500, 0.500, 0.500], [0.000, 0.000, 0.500], [0.000, 0.000, 0.000]], "spacegroup": "P4/mmm"}


*two*
{"formula": "KBaSbI2", "functional": "PBE", "state": "relaxed", "lattice_angstrom": [[6.773, 0.000, 0.000], [0.000, 6.773, 0.000], [0.000, 0.000, 6.922]], "species": ["I", "I", "K", "Sb", "Ba"], "frac_coords": [[0.000, 0.500, 0.000], [0.500, 0.000, 0.000], [0.500, 0.500, 0.500], [0.000, 0.000, 0.500], [0.000, 0.000, 0.000]], "spacegroup": "P4/mmm"}


We find *two* to be the most stable, with the next structure 24.4 kJ/mol of atoms higher.


*one*
{"formula": "KBaSb2I", "functional": "PBE", "state": "relaxed", "lattice_angstrom": [[-4.997, -2.545, -1.929], [2.956, -5.042, -1.004], [-1.281, -1.916, 5.848]], "species": ["Ba", "Sb", "Sb", "K", "I"], "frac_coords": [[0.500, 0.500, 0.500], [0.500, 0.000, 0.000], [0.000, 0.500, 0.000], [0.000, 0.000, 0.000], [0.000, 0.000, 0.500]], "spacegroup": "P4/mmm"}


*two*
{"formula": "KBaSb2I", "functional": "PBE", "state": "relaxed", "lattice_angstrom": [[-1.390, 6.376, -0.844], [-6.412, -1.441, -0.328], [-0.516, 0.773, 6.687]], "species": ["Sb", "Sb", "I", "Ba", "K"], "frac_coords": [[0.000, 0.500, 0.000], [0.500, 0.000, 0.000], [0.000, 0.000, 0.500], [0.000, 0.000, 0.000], [0.500, 0.500, 0.500]], "spacegroup": "P4/mmm"}


We find *two* to be the most stable, with the next structure 12.9 kJ/mol of atoms higher.


*one*
{"formula": "BaLaI5", "functional": "PBE", "state": "relaxed", "lattice_angstrom": [[4.860, 0.000, 0.000], [0.000, 9.249, -0.153], [0.000, -0.333, 15.405]], "species": ["I", "I", "I", "I", "I", "I", "I", "I", "I", "I", "La", "La", "Ba", "Ba"], "frac_coords": [[0.250, 0.842, 0.072], [0.750, 0.633, 0.855], [0.750, 0.923, 0.674], [0.250, 0.077, 0.326], [0.250, 0.367, 0.145], [0.250, 0.372, 0.701], [0.750, 0.158, 0.928], [0.750, 0.320, 0.484], [0.250, 0.680, 0.516], [0.750, 0.628, 0.299], [0.750, 0.577, 0.648], [0.250, 0.423, 0.352], [0.250, 0.920, 0.852], [0.750, 0.080, 0.148]], "spacegroup": "P2_1/m"}


*two*
{"formula": "BaLaI5", "functional": "PBE", "state": "relaxed", "lattice_angstrom": [[-11.197, 2.341, 1.795], [-2.189, -4.684, -7.544], [-3.052, -15.013, 0.538]], "species": ["I", "I", "I", "I", "I", "I", "I", "I", "I", "I", "I", "I", "I", "I", "I", "I", "I", "I", "I", "I", "La", "La", "La", "La", "Ba", "Ba", "Ba", "Ba"], "frac_coords": [[0.174, 0.542, 0.012], [0.709, 0.112, 0.306], [0.826, 0.458, 0.988], [0.427, 0.488, 0.266], [0.573, 0.512, 0.734], [0.927, 0.512, 0.234], [0.073, 0.488, 0.766], [0.674, 0.458, 0.488], [0.475, 0.259, 0.088], [0.183, 0.140, 0.388], [0.791, 0.112, 0.806], [0.326, 0.542, 0.512], [0.209, 0.888, 0.194], [0.317, 0.140, 0.888], [0.025, 0.259, 0.588], [0.975, 0.741, 0.412], [0.291, 0.888, 0.694], [0.817, 0.860, 0.612], [0.525, 0.741, 0.912], [0.683, 0.860, 0.112], [0.648, 0.502, 0.133], [0.352, 0.498, 0.867], [0.852, 0.502, 0.633], [0.148, 0.498, 0.367], [0.000, 0.827, 0.797], [0.500, 0.173, 0.703], [0.500, 0.827, 0.297], [0.000, 0.173, 0.203]], "spacegroup": "P2_1/c"}


*three*
{"formula": "BaLaI5", "functional": "PBE", "state": "relaxed", "lattice_angstrom": [[6.494, -0.043, -0.014], [-0.604, 8.045, 0.009], [-3.225, 0.004, 11.203]], "species": ["I", "I", "I", "I", "I", "I", "I", "I", "I", "I", "La", "La", "Ba", "Ba"], "frac_coords": [[0.189, 0.613, 0.929], [0.213, 0.997, 0.398], [0.696, 0.908, 0.930], [0.767, 0.408, 0.070], [0.203, 0.488, 0.374], [0.814, 0.496, 0.602], [0.261, 0.113, 0.072], [0.376, 0.279, 0.741], [0.829, 0.987, 0.627], [0.635, 0.779, 0.259], [0.907, 0.257, 0.843], [0.064, 0.758, 0.157], [0.704, 0.213, 0.349], [0.353, 0.714, 0.652]], "spacegroup": "P1"}


We find *one* to be the most stable, with the next structure 1.3 kJ/mol of atoms higher.


*one*
{"formula": "BaLi3I", "functional": "PBE", "state": "relaxed", "lattice_angstrom": [[5.643, 0.000, 0.000], [0.000, 5.643, 0.000], [0.000, 0.000, 5.643]], "species": ["Li", "Li", "Li", "Ba", "I"], "frac_coords": [[0.000, 0.500, 0.000], [0.500, 0.000, 0.000], [0.000, 0.000, 0.500], [0.500, 0.500, 0.500], [0.000, 0.000, 0.000]], "spacegroup": "Pm-3m"}


*two*
{"formula": "BaLi3I", "functional": "PBE", "state": "relaxed", "lattice_angstrom": [[-1.982, -5.434, -3.301], [5.021, -3.459, 2.679], [-3.901, -1.692, 5.126]], "species": ["Li", "Li", "Li", "I", "Ba"], "frac_coords": [[0.000, 0.000, 0.500], [0.000, 0.500, 0.000], [0.500, 0.000, 0.000], [0.500, 0.500, 0.500], [0.000, 0.000, 0.000]], "spacegroup": "Pm-3m"}


We find *one* to be the most stable, with the next structure 73.2 kJ/mol of atoms higher.


*one*
{"formula": "BaLi2I", "functional": "PBE", "state": "relaxed", "lattice_angstrom": [[-9.220, -1.080, 0.532], [1.122, -9.197, 0.785], [-3.887, -4.824, 4.106]], "species": ["Ba", "Ba", "Li", "Li", "Li", "Li", "I", "I"], "frac_coords": [[0.000, 0.000, 0.000], [0.750, 0.250, 0.500], [0.375, 0.443, 0.750], [0.875, 0.807, 0.750], [0.193, 0.625, 0.250], [0.557, 0.125, 0.250], [0.250, 0.750, 0.500], [0.500, 0.500, 0.000]], "spacegroup": "I-42d"}


*two*
{"formula": "BaLi2I", "functional": "PBE", "state": "relaxed", "lattice_angstrom": [[5.028, -2.412, 1.201], [0.890, -2.337, 5.127], [0.393, -5.667, 0.523]], "species": ["I", "Ba", "Li", "Li"], "frac_coords": [[0.000, 0.000, 0.000], [0.500, 0.500, 0.500], [0.250, 0.250, 0.250], [0.750, 0.750, 0.750]], "spacegroup": "Fm-3m"}


We find *one* to be the most stable, with the next structure 23.6 kJ/mol of atoms higher.


*one*
{"formula": "Ba2LiI", "functional": "PBE", "state": "relaxed", "lattice_angstrom": [[4.295, 0.000, 0.000], [2.148, 3.720, 0.000], [2.148, 1.240, 12.743]], "species": ["Ba", "Ba", "Li", "I"], "frac_coords": [[0.902, 0.902, 0.294], [0.098, 0.098, 0.706], [0.000, 0.000, 0.000], [0.500, 0.500, 0.500]], "spacegroup": "R-3m"}


*two*
{"formula": "Ba2LiI", "functional": "PBE", "state": "relaxed", "lattice_angstrom": [[9.411, 0.000, 0.000], [0.000, 9.411, 0.000], [4.706, 4.706, 4.615]], "species": ["Ba", "Ba", "Ba", "Ba", "Li", "Li", "I", "I"], "frac_coords": [[0.123, 0.625, 0.250], [0.875, 0.877, 0.750], [0.627, 0.125, 0.250], [0.375, 0.373, 0.750], [0.250, 0.750, 0.500], [0.500, 0.500, 0.000], [0.000, 0.000, 0.000], [0.750, 0.250, 0.500]], "spacegroup": "I-42d"}


We find *two* to be the most stable, with the next structure 3.9 kJ/mol of atoms higher.


*one*
{"formula": "Ba2LiI", "functional": "PBE", "state": "relaxed", "lattice_angstrom": [[0.000, 4.405, 4.405], [4.405, 0.000, 4.405], [4.405, 4.405, 0.000]], "species": ["Li", "I", "Ba", "Ba"], "frac_coords": [[0.000, 0.000, 0.000], [0.500, 0.500, 0.500], [0.750, 0.750, 0.750], [0.250, 0.250, 0.250]], "spacegroup": "Fm-3m"}


*two*
{"formula": "Ba2LiI", "functional": "PBE", "state": "relaxed", "lattice_angstrom": [[4.284, 0.000, 0.000], [0.000, 4.284, 0.000], [0.000, 0.000, 9.298]], "species": ["I", "Li", "Ba", "Ba"], "frac_coords": [[0.500, 0.500, 0.500], [0.500, 0.500, 0.000], [0.000, 0.000, 0.762], [0.000, 0.000, 0.238]], "spacegroup": "P4/mmm"}


*three*
{"formula": "Ba2LiI", "functional": "PBE", "state": "relaxed", "lattice_angstrom": [[-4.267, -1.129, 1.554], [-1.055, -4.469, 0.902], [1.325, -0.710, 10.170]], "species": ["Ba", "Ba", "Li", "I"], "frac_coords": [[0.079, 0.079, 0.762], [0.254, 0.254, 0.237], [0.667, 0.667, 0.999], [0.499, 0.499, 0.502]], "spacegroup": "R3m"}


We find *two* to be the most stable, with the next structure 0.6 kJ/mol of atoms higher.


*one*
{"formula": "Ba2Li2I", "functional": "PBE", "state": "relaxed", "lattice_angstrom": [[4.195, 0.000, 0.000], [0.000, 4.195, 0.000], [2.097, 2.097, 10.805]], "species": ["I", "Li", "Li", "Ba", "Ba"], "frac_coords": [[0.000, 0.000, 0.000], [0.250, 0.750, 0.500], [0.750, 0.250, 0.500], [0.609, 0.609, 0.782], [0.391, 0.391, 0.218]], "spacegroup": "I4/mmm"}


*two*
{"formula": "Ba2Li2I", "functional": "PBE", "state": "relaxed", "lattice_angstrom": [[9.724, 0.000, 0.000], [0.000, 9.724, 0.000], [0.000, 0.000, 4.797]], "species": ["Li", "Li", "Li", "Li", "Ba", "Ba", "Ba", "Ba", "I", "I"], "frac_coords": [[0.103, 0.603, 0.500], [0.603, 0.897, 0.500], [0.897, 0.397, 0.500], [0.397, 0.103, 0.500], [0.183, 0.317, 0.000], [0.317, 0.817, 0.000], [0.817, 0.683, 0.000], [0.683, 0.183, 0.000], [0.500, 0.500, 0.000], [0.000, 0.000, 0.000]], "spacegroup": "P4/mbm"}


*three*
{"formula": "Ba2Li2I", "functional": "PBE", "state": "relaxed", "lattice_angstrom": [[-1.767, -3.829, -2.549], [3.278, 3.038, -2.076], [7.409, -4.066, 5.743]], "species": ["Ba", "Ba", "Li", "Li", "I"], "frac_coords": [[0.831, 0.415, 0.245], [0.169, 0.585, 0.755], [0.334, 0.167, 0.502], [0.666, 0.833, 0.498], [0.000, 0.000, 0.000]], "spacegroup": "R-3m"}


We find *three* to be the most stable, with the next structure 9.2 kJ/mol of atoms higher.


*one*
{"formula": "BaLiIO2", "functional": "PBE", "state": "relaxed", "lattice_angstrom": [[4.560, 0.000, 0.000], [0.000, 4.560, 0.000], [0.000, 0.000, 7.380]], "species": ["O", "O", "Li", "I", "Ba"], "frac_coords": [[0.500, 0.000, 0.000], [0.000, 0.500, 0.000], [0.500, 0.500, 0.500], [0.000, 0.000, 0.500], [0.000, 0.000, 0.000]], "spacegroup": "P4/mmm"}


*two*
{"formula": "BaLiIO2", "functional": "PBE", "state": "relaxed", "lattice_angstrom": [[-0.853, -4.598, -0.120], [4.487, -0.859, 1.009], [-1.081, 0.074, 4.870]], "species": ["O", "O", "Ba", "Li", "I"], "frac_coords": [[0.500, 0.000, 0.000], [0.000, 0.500, 0.000], [0.500, 0.500, 0.500], [0.000, 0.000, 0.000], [0.000, 0.000, 0.500]], "spacegroup": "P4/mmm"}


We find *two* to be the most stable, with the next structure 4.2 kJ/mol of atoms higher.


*one*
{"formula": "Ba2Mg2I", "functional": "PBE", "state": "relaxed", "lattice_angstrom": [[-4.733, -8.028, 2.801], [5.407, -0.368, 8.082], [-3.365, 2.815, 2.380]], "species": ["Mg", "Mg", "Mg", "Mg", "Ba", "Ba", "Ba", "Ba", "I", "I"], "frac_coords": [[0.393, 0.107, 0.500], [0.893, 0.393, 0.500], [0.607, 0.893, 0.500], [0.107, 0.607, 0.500], [0.683, 0.183, 0.000], [0.817, 0.683, 0.000], [0.317, 0.817, 0.000], [0.183, 0.317, 0.000], [0.500, 0.500, 0.000], [0.000, 0.000, 0.000]], "spacegroup": "P4/mbm"}


*two*
{"formula": "Ba2Mg2I", "functional": "PBE", "state": "relaxed", "lattice_angstrom": [[6.942, 0.000, 0.000], [0.000, 6.942, 0.000], [3.471, 3.471, 4.825]], "species": ["Ba", "Ba", "I", "Mg", "Mg"], "frac_coords": [[0.250, 0.750, 0.500], [0.750, 0.250, 0.500], [0.000, 0.000, 0.000], [0.648, 0.648, 0.705], [0.352, 0.352, 0.295]], "spacegroup": "I4/mmm"}


*three*
{"formula": "Ba2Mg2I", "functional": "PBE", "state": "relaxed", "lattice_angstrom": [[9.547, 0.000, 0.000], [0.000, 9.547, 0.000], [0.000, 0.000, 4.707]], "species": ["I", "I", "Ba", "Ba", "Ba", "Ba", "Mg", "Mg", "Mg", "Mg"], "frac_coords": [[0.500, 0.500, 0.000], [0.000, 0.000, 0.000], [0.824, 0.324, 0.500], [0.324, 0.176, 0.500], [0.176, 0.676, 0.500], [0.676, 0.824, 0.500], [0.614, 0.114, 0.000], [0.386, 0.886, 0.000], [0.886, 0.614, 0.000], [0.114, 0.386, 0.000]], "spacegroup": "P4/mbm"}


We find *one* to be the most stable, with the next structure 4.1 kJ/mol of atoms higher.


*one*
{"formula": "BaMgI2", "functional": "PBE", "state": "relaxed", "lattice_angstrom": [[4.245, -2.353, 3.643], [3.560, 3.665, 3.273], [-0.669, 0.294, 6.024]], "species": ["Ba", "Mg", "I", "I"], "frac_coords": [[0.500, 0.500, 0.500], [0.000, 0.000, 0.000], [0.750, 0.750, 0.750], [0.250, 0.250, 0.250]], "spacegroup": "Fm-3m"}


*two*
{"formula": "BaMgI2", "functional": "PBE", "state": "relaxed", "lattice_angstrom": [[4.355, 0.000, 0.000], [2.178, 3.772, 0.000], [2.178, 1.257, 10.555]], "species": ["I", "I", "Ba", "Mg"], "frac_coords": [[0.886, 0.886, 0.341], [0.114, 0.114, 0.659], [0.000, 0.000, 0.000], [0.500, 0.500, 0.500]], "spacegroup": "R-3m"}


We find *one* to be the most stable, with the next structure 28.1 kJ/mol of atoms higher.